Record 1
A geometry-optimized Nb2Ag2W structure. Source: Alexandria via LeMat-Bulk, functional PBE.

Cell lengths 7.946, 7.946, 2.831 Å; angles 90.00, 90.00, 90.00 degrees
Fractional positions:
Nb  0.181  0.681  0.500
Nb  0.681  0.819  0.500
Nb  0.819  0.319  0.500
Nb  0.319  0.181  0.500
Ag  0.381  0.881  0.000
Ag  0.881  0.619  0.000
Ag  0.619  0.119  0.000
Ag  0.119  0.381  0.000
W  0.000  0.000  0.000
W  0.500  0.500  0.000

Properties
* magnetization: 0.0 μB per formula unit
* formation enthalpy at 0 K: 0.705 eV/atom
* DOS at the Fermi energy: 0.650 states/eV per atom
* final energy: -7.05 eV per atom



Record 2
A geometry-optimized Pm3NdDy4 structure. Source: Alexandria via LeMat-Bulk, functional PBE.

Cell lengths 6.314, 7.320, 11.555 Å; angles 90.00, 90.00, 90.00 degrees
Fractional positions:
Pm  0.647  0.627  0.000
Pm  0.982  0.627  0.250
Pm  0.482  0.373  0.250
Pm  0.147  0.373  0.500
Pm  0.482  0.373  0.750
Pm  0.982  0.627  0.750
Nd  0.147  0.373  0.000
Nd  0.647  0.627  0.500
Dy  0.148  0.878  0.000
Dy  0.648  0.122  0.000
Dy  0.981  0.122  0.250
Dy  0.481  0.878  0.250
Dy  0.148  0.878  0.500
Dy  0.648  0.122  0.500
Dy  0.481  0.878  0.750
Dy  0.981  0.122  0.750

Properties
* magnetization: 0.0 μB per formula unit
* formation enthalpy at 0 K: 0.026 eV/atom
* DOS at the Fermi energy: 1.802 states/eV per atom
* final energy: -4.65 eV per atom
* relative energy among the computed polymorphs: 10 meV/atom



Record 3
A geometry-optimized RbNbCd structure. Source: Alexandria via LeMat-Bulk, functional PBE.

Cell lengths 14.944, 3.562, 3.562 Å; angles 90.00, 89.63, 90.14 degrees
Fractional positions:
Nb  0.460  0.750  0.251
Nb  0.540  0.250  0.749
Rb  0.151  0.746  0.260
Rb  0.849  0.254  0.740
Cd  0.339  0.248  0.755
Cd  0.661  0.752  0.245

Properties
* magnetization: 0.0 μB per formula unit
* formation enthalpy at 0 K: 0.306 eV/atom
* DOS at the Fermi energy: 0.539 states/eV per atom
* final energy: -3.68 eV per atom
* relative energy among the computed polymorphs: 0 meV/atom